(1)
SrPmPd2 | GGA-PBE | optimized geometry

Structure (CIF):
```
data_SrPmPd2
_chemical_formula_sum 'Sr4 Pm4 Pd8'
_symmetry_space_group_name_H-M 'F m -3 m'
_symmetry_Int_Tables_number 225
_symmetry_space_group_name_Hall '-F 4 2 3'
_cell_length_a 7.299
_cell_length_b 7.299
_cell_length_c 7.299
_cell_angle_alpha 90.00
_cell_angle_beta 90.00
_cell_angle_gamma 90.00
loop_
_atom_site_label
_atom_site_type_symbol
_atom_site_fract_x
_atom_site_fract_y
_atom_site_fract_z
_atom_site_occupancy
Sr1 Sr 0.000 0.000 0.000 1
Pm1 Pm 0.000 0.000 0.500 1
Pd1 Pd 0.250 0.250 0.250 1
```

The value obtained for the relative energy among the computed polymorphs is 70 meV/atom. Its total magnetization is 0.000 μB per formula unit. The formation energy comes out at -0.64 eV per atom.

(2)
SrPmPd2 | GGA-PBE | optimized geometry

Structure (CIF):
```
data_SrPmPd2
_chemical_formula_sum 'Sr3 Pm3 Pd6'
_symmetry_space_group_name_H-M 'R 3 m'
_symmetry_Int_Tables_number 160
_symmetry_space_group_name_Hall 'R 3 -2"'
_cell_length_a 4.1507
_cell_length_b 4.1507
_cell_length_c 22.4792
_cell_angle_alpha 90.00
_cell_angle_beta 90.00
_cell_angle_gamma 120.00
loop_
_atom_site_label
_atom_site_type_symbol
_atom_site_fract_x
_atom_site_fract_y
_atom_site_fract_z
_atom_site_occupancy
Sr1 Sr 0.0000 0.0000 0.0000 1
Pm1 Pm 0.0000 0.0000 0.1717 1
Pd1 Pd 0.0000 0.0000 0.5799 1
Pd2 Pd 0.0000 0.0000 0.7612 1
```

The value obtained for the relative energy among the computed polymorphs is 166 meV/atom. Its total magnetization is 0.000 μB per formula unit. The formation energy comes out at -0.54 eV per atom.

(3)
SrPmPd2 | GGA-PBE | optimized geometry

Structure (CIF):
```
data_SrPmPd2
_chemical_formula_sum 'Sr1 Pm1 Pd2'
_symmetry_space_group_name_H-M 'P 4/m m m'
_symmetry_Int_Tables_number 123
_symmetry_space_group_name_Hall '-P 4 2'
_cell_length_a 3.659
_cell_length_b 3.659
_cell_length_c 7.417
_cell_angle_alpha 90.00
_cell_angle_beta 90.00
_cell_angle_gamma 90.00
loop_
_atom_site_label
_atom_site_type_symbol
_atom_site_fract_x
_atom_site_fract_y
_atom_site_fract_z
_atom_site_occupancy
Sr1 Sr 0.000 0.000 0.000 1
Pm1 Pm 0.000 0.000 0.500 1
Pd1 Pd 0.500 0.500 0.285 1
```

The value obtained for the relative energy among the computed polymorphs is 0 meV/atom. Its total magnetization is 0.000 μB per formula unit. The formation energy comes out at -0.71 eV per atom.

(4)
SrPm2Pd | GGA-PBE | optimized geometry

Structure (CIF):
```
data_SrPm2Pd
_chemical_formula_sum 'Sr1 Pm2 Pd1'
_symmetry_space_group_name_H-M 'P 4/m m m'
_symmetry_Int_Tables_number 123
_symmetry_space_group_name_Hall '-P 4 2'
_cell_length_a 3.683
_cell_length_b 3.683
_cell_length_c 9.822
_cell_angle_alpha 90.00
_cell_angle_beta 90.00
_cell_angle_gamma 90.00
loop_
_atom_site_label
_atom_site_type_symbol
_atom_site_fract_x
_atom_site_fract_y
_atom_site_fract_z
_atom_site_occupancy
Sr1 Sr 0.000 0.000 0.000 1
Pm1 Pm 0.500 0.500 0.330 1
Pd1 Pd 0.000 0.000 0.500 1
```

The value obtained for the relative energy among the computed polymorphs is 0 meV/atom. Its total magnetization is 0.005 μB per formula unit. The formation energy comes out at -0.28 eV per atom.

(5)
Sr2PmPd | GGA-PBE | optimized geometry

Structure (CIF):
```
data_Sr2PmPd
_chemical_formula_sum 'Sr6 Pm3 Pd3'
_symmetry_space_group_name_H-M 'R -3 m'
_symmetry_Int_Tables_number 166
_symmetry_space_group_name_Hall '-R 3 2"'
_cell_length_a 3.9501
_cell_length_b 3.9501
_cell_length_c 34.0621
_cell_angle_alpha 90.00
_cell_angle_beta 90.00
_cell_angle_gamma 120.00
loop_
_atom_site_label
_atom_site_type_symbol
_atom_site_fract_x
_atom_site_fract_y
_atom_site_fract_z
_atom_site_occupancy
Sr1 Sr 0.0000 0.0000 0.1101 1
Pm1 Pm 0.0000 0.0000 0.0000 1
Pd1 Pd 0.0000 0.0000 0.5000 1
```

Its total magnetization is 0.421 μB per formula unit. The formation energy comes out at 0.00 eV per atom.

(6)
Sr2Pm2Pd15 | GGA-PBE | optimized geometry

Structure (CIF):
```
data_Sr2Pm2Pd15
_chemical_formula_sum 'Sr6 Pm6 Pd45'
_symmetry_space_group_name_H-M 'R -3 m'
_symmetry_Int_Tables_number 166
_symmetry_space_group_name_Hall '-R 3 2"'
_cell_length_a 9.4206
_cell_length_b 9.4206
_cell_length_c 14.1797
_cell_angle_alpha 90.00
_cell_angle_beta 90.00
_cell_angle_gamma 120.00
loop_
_atom_site_label
_atom_site_type_symbol
_atom_site_fract_x
_atom_site_fract_y
_atom_site_fract_z
_atom_site_occupancy
Sr1 Sr 0.0000 0.0000 0.1384 1
Pm1 Pm 0.0000 0.0000 0.3896 1
Pd1 Pd 0.0000 0.3004 0.5000 1
Pd2 Pd 0.0000 0.5000 0.0000 1
Pd3 Pd 0.0040 0.5020 0.6532 1
```

Its total magnetization is 0.000 μB per formula unit. The formation energy comes out at -0.48 eV per atom.

(7)
SrPmPd2 | GGA-PBE | optimized geometry

Structure (CIF):
```
data_SrPmPd2
_chemical_formula_sum 'Sr3 Pm3 Pd6'
_symmetry_space_group_name_H-M 'R -3 m'
_symmetry_Int_Tables_number 166
_symmetry_space_group_name_Hall '-R 3 2"'
_cell_length_a 4.2467
_cell_length_b 4.2467
_cell_length_c 21.4591
_cell_angle_alpha 90.00
_cell_angle_beta 90.00
_cell_angle_gamma 120.00
loop_
_atom_site_label
_atom_site_type_symbol
_atom_site_fract_x
_atom_site_fract_y
_atom_site_fract_z
_atom_site_occupancy
Sr1 Sr 0.0000 0.0000 0.0000 1
Pm1 Pm 0.0000 0.0000 0.5000 1
Pd1 Pd 0.0000 0.0000 0.2413 1
```

The value obtained for the relative energy among the computed polymorphs is 134 meV/atom. Its total magnetization is 0.000 μB per formula unit. The formation energy comes out at -0.58 eV per atom.

(8)
SrPm2Pd | GGA-PBE | optimized geometry

Structure (CIF):
```
data_SrPm2Pd
_chemical_formula_sum 'Sr3 Pm6 Pd3'
_symmetry_space_group_name_H-M 'R -3 m'
_symmetry_Int_Tables_number 166
_symmetry_space_group_name_Hall '-R 3 2"'
_cell_length_a 4.2055
_cell_length_b 4.2055
_cell_length_c 29.5536
_cell_angle_alpha 90.00
_cell_angle_beta 90.00
_cell_angle_gamma 120.00
loop_
_atom_site_label
_atom_site_type_symbol
_atom_site_fract_x
_atom_site_fract_y
_atom_site_fract_z
_atom_site_occupancy
Sr1 Sr 0.0000 0.0000 0.0000 1
Pm1 Pm 0.0000 0.0000 0.2192 1
Pd1 Pd 0.0000 0.0000 0.5000 1
```

The value obtained for the relative energy among the computed polymorphs is 15 meV/atom. Its total magnetization is 0.003 μB per formula unit. The formation energy comes out at -0.26 eV per atom.

(9)
Sr3PmPd8 | GGA-PBE | optimized geometry

Structure (CIF):
```
data_Sr3PmPd8
_chemical_formula_sum 'Sr9 Pm3 Pd24'
_symmetry_space_group_name_H-M 'R 3 m'
_symmetry_Int_Tables_number 160
_symmetry_space_group_name_Hall 'R 3 -2"'
_cell_length_a 5.5996
_cell_length_b 5.5996
_cell_length_c 27.2457
_cell_angle_alpha 90.00
_cell_angle_beta 90.00
_cell_angle_gamma 120.00
loop_
_atom_site_label
_atom_site_type_symbol
_atom_site_fract_x
_atom_site_fract_y
_atom_site_fract_z
_atom_site_occupancy
Sr1 Sr 0.0000 0.0000 0.0000 1
Sr2 Sr 0.0000 0.0000 0.1245 1
Sr3 Sr 0.0000 0.0000 0.4974 1
Pm1 Pm 0.0000 0.0000 0.6237 1
Pd1 Pd 0.0000 0.0000 0.3109 1
Pd2 Pd 0.0000 0.0000 0.8113 1
Pd3 Pd 0.0025 0.5012 0.5631 1
Pd4 Pd 0.1682 0.3365 0.3926 1
```

Its total magnetization is 0.000 μB per formula unit. The formation energy comes out at -0.66 eV per atom.

(10)
SrPmPd10 | GGA-PBE | optimized geometry

Structure (CIF):
```
data_SrPmPd10
_chemical_formula_sum 'Sr1 Pm1 Pd10'
_symmetry_space_group_name_H-M 'P m m m'
_symmetry_Int_Tables_number 47
_cell_length_a 4.482
_cell_length_b 5.394
_cell_length_c 9.355
_cell_angle_alpha 90.00
_cell_angle_beta 90.00
_cell_angle_gamma 90.00
loop_
_symmetry_equiv_pos_as_xyz
'x,y,z'
'-x,-y,-z'
'-x,-y,z'
'x,y,-z'
'x,-y,-z'
'-x,y,z'
'-x,y,-z'
'x,-y,z'
loop_
_atom_site_label
_atom_site_type_symbol
_atom_site_fract_x
_atom_site_fract_y
_atom_site_fract_z
_atom_site_occupancy
Sr1 Sr 0.000 0.000 0.000 1
Pm1 Pm 0.000 0.500 0.500 1
Pd1 Pd 0.000 0.000 0.339 1
Pd2 Pd 0.000 0.500 0.174 1
Pd3 Pd 0.500 0.000 0.500 1
Pd4 Pd 0.500 0.252 0.254 1
Pd5 Pd 0.500 0.500 0.000 1
```

Its total magnetization is 0.000 μB per formula unit. The formation energy comes out at -0.44 eV per atom.

(11)
SrPmTlPd | GGA-PBE | optimized geometry

Structure (CIF):
```
data_SrPmTlPd
_chemical_formula_sum 'Sr4 Pm4 Tl4 Pd4'
_symmetry_space_group_name_H-M 'F -4 3 m'
_symmetry_Int_Tables_number 216
_symmetry_space_group_name_Hall 'F -4 2 3'
_cell_length_a 7.641
_cell_length_b 7.641
_cell_length_c 7.641
_cell_angle_alpha 90.00
_cell_angle_beta 90.00
_cell_angle_gamma 90.00
loop_
_atom_site_label
_atom_site_type_symbol
_atom_site_fract_x
_atom_site_fract_y
_atom_site_fract_z
_atom_site_occupancy
Sr1 Sr 0.000 0.000 0.000 1
Pm1 Pm 0.000 0.000 0.500 1
Tl1 Tl 0.250 0.250 0.750 1
Pd1 Pd 0.250 0.250 0.250 1
```

Its total magnetization is 0.000 μB per formula unit. The formation energy comes out at -0.42 eV per atom.

(12)
SrPmZnPd | GGA-PBE | optimized geometry

Structure (CIF):
```
data_SrPmZnPd
_chemical_formula_sum 'Sr4 Pm4 Zn4 Pd4'
_symmetry_space_group_name_H-M 'F -4 3 m'
_symmetry_Int_Tables_number 216
_symmetry_space_group_name_Hall 'F -4 2 3'
_cell_length_a 7.397
_cell_length_b 7.397
_cell_length_c 7.397
_cell_angle_alpha 90.00
_cell_angle_beta 90.00
_cell_angle_gamma 90.00
loop_
_atom_site_label
_atom_site_type_symbol
_atom_site_fract_x
_atom_site_fract_y
_atom_site_fract_z
_atom_site_occupancy
Sr1 Sr 0.000 0.000 0.000 1
Pm1 Pm 0.000 0.000 0.500 1
Zn1 Zn 0.250 0.250 0.750 1
Pd1 Pd 0.250 0.250 0.250 1
```

Its total magnetization is 0.000 μB per formula unit. The formation energy comes out at -0.40 eV per atom.

Repeat the sixth record exactly.
Sr2Pm2Pd15 | GGA-PBE | optimized geometry

Structure (CIF):
```
data_Sr2Pm2Pd15
_chemical_formula_sum 'Sr6 Pm6 Pd45'
_symmetry_space_group_name_H-M 'R -3 m'
_symmetry_Int_Tables_number 166
_symmetry_space_group_name_Hall '-R 3 2"'
_cell_length_a 9.4206
_cell_length_b 9.4206
_cell_length_c 14.1797
_cell_angle_alpha 90.00
_cell_angle_beta 90.00
_cell_angle_gamma 120.00
loop_
_atom_site_label
_atom_site_type_symbol
_atom_site_fract_x
_atom_site_fract_y
_atom_site_fract_z
_atom_site_occupancy
Sr1 Sr 0.0000 0.0000 0.1384 1
Pm1 Pm 0.0000 0.0000 0.3896 1
Pd1 Pd 0.0000 0.3004 0.5000 1
Pd2 Pd 0.0000 0.5000 0.0000 1
Pd3 Pd 0.0040 0.5020 0.6532 1
```

Its total magnetization is 0.000 μB per formula unit. The formation energy comes out at -0.48 eV per atom.

Q: What is the formula in the sixth record?
A: Sr2Pm2Pd15